# 1
NbP2OsCl, relaxed, DFT PBE; formation energy from raw total energies = 1206 meV per atom; total moment = 0.73 μB per atom; energy relative to the lowest polymorph listed for this composition = 316.8 meV per atom; DOS(E_F) = 5.3 states/eV/f.u.
1.0
4.860 0.000 0.000
0.000 4.860 0.000
0.000 0.000 4.684
P Nb Os Cl
2 1 1 1
direct
0.000 0.500 0.000
0.500 0.000 0.000
0.000 0.000 0.000
0.500 0.500 0.500
0.000 0.000 0.500

=====

# 2
CaCoP2, relaxed, DFT PBE; total moment = 0.00 μB per atom; energy relative to the lowest polymorph listed for this composition = 50.7 meV per atom; DOS(E_F) = 1.8 states/eV/f.u.
1.0
-2.454 -1.512 2.304
3.169 -1.552 2.357
0.008 3.910 2.574
Ca Co P
1 1 2
direct
0.500 0.250 0.250
0.500 0.750 0.750
0.000 0.751 0.013
0.000 0.749 0.487

=====

# 3
MnZnAu2, relaxed, DFT PBE; total moment = 0.92 μB per atom; raw total energy = -4.2797 eV per atom; DOS(E_F) = 2.6 states/eV/f.u.
1.0
-0.315 -2.756 -1.029
2.511 0.287 -1.539
3.866 -2.616 5.821
Au Mn Zn
2 1 1
direct
0.000 0.000 0.979
0.500 0.500 0.269
0.000 0.000 0.512
0.500 0.500 0.740

=====

# 4
Zr2VFeAg, relaxed, DFT PBE; total moment = 0.01 μB per atom; raw total energy = -6.2166 eV per atom; DOS(E_F) = 9.0 states/eV/f.u.
1.0
-2.471 -3.983 0.540
3.589 -1.872 2.614
-1.951 1.743 3.926
V Zr Ag Fe
1 2 1 1
direct
0.000 0.000 0.000
0.000 0.000 0.500
0.500 0.000 0.000
0.000 0.500 0.000
0.500 0.500 0.500

=====

# 5
HfZr2BPb, relaxed, DFT PBE; total moment = 0.00 μB per atom; raw total energy = -7.8149 eV per atom; DOS(E_F) = 3.0 states/eV/f.u.
1.0
4.686 0.000 0.000
0.000 4.686 0.000
0.000 0.000 4.621
Pb B Hf Zr
1 1 1 2
direct
0.500 0.500 0.500
0.000 0.000 0.000
0.000 0.000 0.500
0.000 0.500 0.000
0.500 0.000 0.000

=====

# 6
Tl2ZnAs2O6, relaxed, DFT PBE; formation energy from raw total energies = -1063 meV per atom; total moment = 0.00 μB per atom; DOS(E_F) = 0.0 states/eV/f.u.
1.0
5.562 0.000 0.000
-2.781 6.058 0.536
0.000 -2.898 5.697
Tl Zn As O
2 1 2 6
direct
0.728 0.457 0.210
0.272 0.543 0.790
0.500 0.000 0.500
0.979 0.957 0.791
0.021 0.043 0.209
0.829 0.657 0.653
0.200 0.898 0.252
0.303 0.102 0.748
0.800 0.102 0.748
0.697 0.898 0.252
0.171 0.343 0.347

=====

# 7
Eu2ZnHg, relaxed, DFT PBE; total moment = 3.57 μB per atom; energy relative to the lowest polymorph listed for this composition = 2.3 meV per atom; DOS(E_F) = 12.0 states/eV/f.u.
1.0
-4.379 -0.968 -3.049
-2.704 -4.670 0.543
-4.928 -0.033 2.265
Eu Zn Hg
2 1 1
direct
0.250 0.250 0.250
0.750 0.750 0.750
0.000 0.000 0.000
0.500 0.500 0.500

=====

# 8
KZn2B2, relaxed, DFT PBE; total moment = 0.00 μB per atom; energy relative to the lowest polymorph listed for this composition = 211.5 meV per atom; DOS(E_F) = 1.4 states/eV/f.u.
1.0
7.576 0.000 0.000
0.000 7.576 0.000
0.000 0.000 2.469
Zn B K
4 4 2
direct
0.370 0.870 0.000
0.870 0.630 0.000
0.630 0.130 0.000
0.130 0.370 0.000
0.146 0.646 0.500
0.646 0.854 0.500
0.854 0.354 0.500
0.354 0.146 0.500
0.000 0.000 0.000
0.500 0.500 0.000